This record from the Alexandria database describes crystalline Rb3TeI6 at its relaxed geometry. The functional is GGA-PBE.

Results
- Magnetization: 1.04 μB per formula unit
- Calculated volume: 524.1 Å³/f.u.
- Total DFT energy (no corrections): -2.4178 eV per atom
- ρ: 3.63 g/cm3
- Fermi-level density of states: 0.152 states/eV per atom

a b c (Å): 8.905 8.750 13.658
angles (deg): 90.00 99.98 90.00
Site moments in Bohr magnetons follow the coordinates.
Fractional positions:
1 Rb 0.510 0.912 0.728  0.00
2 Rb 0.500 0.500 0.000  0.01
3 Rb 0.490 0.088 0.272  0.00
4 Rb 0.010 0.588 0.228  0.00
5 Rb 0.000 0.000 0.500  0.01
6 Rb 0.990 0.412 0.772  0.00
7 Te 0.500 0.500 0.500  0.34
8 Te 0.000 0.000 0.000  0.34
9 I 0.729 0.184 0.912  0.01
10 I 0.668 0.214 0.562  0.01
11 I 0.622 0.485 0.266  0.13
12 I 0.378 0.515 0.734  0.13
13 I 0.332 0.786 0.438  0.01
14 I 0.271 0.816 0.088  0.01
15 I 0.229 0.316 0.412  0.01
16 I 0.168 0.286 0.062  0.01
17 I 0.122 0.015 0.766  0.13
18 I 0.878 0.985 0.234  0.13
19 I 0.832 0.714 0.938  0.01
20 I 0.771 0.684 0.588  0.01